# PmFeSi

A relaxed structure of PmFeSi (PBE-GGA, OQMD).

Structure (POSCAR):
```
PmFeSi
1.0
0.000 3.312 3.312
3.312 0.000 3.312
3.312 3.312 0.000
Pm Fe Si
1 1 1
Direct
0.000 0.000 0.000
0.750 0.750 0.750
0.250 0.250 0.250
```

Values from the calculation:
**Energy above the most stable polymorph in this dataset**: 1360 meV per atom
**Raw total energy**: -16.18 eV for the cell shown
**Total magnetic moment**: 1.0275 μB/atom